Computed, not measured: crystalline MgNbCdCo at its relaxed geometry at the PBE level of DFT.

a = 6.403 Å, b = 6.403 Å, c = 6.403 Å
α = 90.00°, β = 90.00°, γ = 90.00°
Positions (direct):
Mg 0.000 0.000 0.000
Mg 0.000 0.500 0.500
Mg 0.500 0.000 0.500
Mg 0.500 0.500 0.000
Nb 0.000 0.000 0.500
Nb 0.000 0.500 0.000
Nb 0.500 0.000 0.000
Nb 0.500 0.500 0.500
Cd 0.250 0.250 0.250
Cd 0.250 0.750 0.750
Cd 0.750 0.250 0.750
Cd 0.750 0.750 0.250
Co 0.250 0.250 0.750
Co 0.250 0.750 0.250
Co 0.750 0.250 0.250
Co 0.750 0.750 0.750

DFT total energy ... -75.58 eV/cell
Relative energy among the computed polymorphs ... 0.17 eV/f.u.
Volume ... 16.4 A^3/atom